A plane-wave DFT calculation with GGA-PBE was carried out for a relaxed structure of Dy7Tm12Pb.

Cell: 12.1214 12.1214 15.1720 Å, 90.00 90.00 120.00°
With the nearest neighbours (Å) after each atom.
Space group R-3 (No. 148, hexagonal axes)
One atom of each set of equivalent atoms:
Dy (0.0000, 0.0000, 0.0000)  6 Dy 3.47, 6 Tm 3.57
Dy (0.0168, 0.4406, 0.7036)  7 Tm 3.27-3.60, 3 Dy 3.47-3.60
Tm (0.0331, 0.1874, 0.8096)  6 Tm 3.43-3.77, 5 Dy 3.56-3.71
Tm (0.0705, 0.5949, 0.0888)  1 Pb 3.09, 3 Dy 3.27-3.40, 2 Tm 3.40-3.43
Pb (0.0000, 0.0000, 0.5000)  6 Tm 3.09

## Properties
DOS(E_F), states/eV per atom: 1.8634
Raw total energy, eV/atom: -4.31
Energy of formation, meV/atom: 174